1.
# TmPaRhO6, relaxed, DFT PBE
# **Formation energy (no corrections)**: -2571 meV per atom
# **Theoretical density**: 8.24 Mg/m³
# **Calculated total energy**: -8.245 eV/atom
data_TmPaRhO6
_cell_length_a 5.3383
_cell_length_b 5.3383
_cell_length_c 4.8922
_cell_angle_alpha 90.00
_cell_angle_beta 90.00
_cell_angle_gamma 120.00
_space_group_name_H-M_alt 'P 3 1 2'
_space_group_IT_number 149
_space_group_name_Hall 'P 3 2'
loop_
_atom_site_label
_atom_site_type_symbol
_atom_site_fract_x
_atom_site_fract_y
_atom_site_fract_z
Tm1 Tm 0.0000 0.0000 0.0000
Pa1 Pa 0.6667 0.3333 0.5000
Rh1 Rh 0.3333 0.6667 0.0000
O1 O 0.0138 0.3604 0.2379

2.
# MgReSb2I, relaxed, DFT PBE
# **Energy above the most stable polymorph in this dataset**: 887.5 meV per atom
# **Formation energy (no corrections)**: 1455 meV per atom
# **Theoretical density**: 6.05 Mg/m³
# **Calculated total energy**: -3.312 eV/atom
data_MgReSb2I
_cell_length_a 5.406
_cell_length_b 5.406
_cell_length_c 5.456
_cell_angle_alpha 90.00
_cell_angle_beta 90.00
_cell_angle_gamma 90.00
_space_group_name_H-M_alt 'P 4/m m m'
_space_group_IT_number 123
_space_group_name_Hall '-P 4 2'
loop_
_atom_site_label
_atom_site_type_symbol
_atom_site_fract_x
_atom_site_fract_y
_atom_site_fract_z
Mg1 Mg 0.000 0.000 0.000
Re1 Re 0.500 0.500 0.500
Sb1 Sb 0.000 0.500 0.000
I1 I 0.000 0.000 0.500

3.
# CuSbNF2, relaxed, DFT PBE
# **Energy above the most stable polymorph in this dataset**: 0.0 meV per atom
# **Formation energy (no corrections)**: -297 meV per atom
# **Theoretical density**: 6.23 Mg/m³
# **Calculated total energy**: -4.354 eV/atom
data_CuSbNF2
_cell_length_a 3.873
_cell_length_b 3.873
_cell_length_c 4.213
_cell_angle_alpha 90.00
_cell_angle_beta 90.00
_cell_angle_gamma 90.00
_space_group_name_H-M_alt 'P 4/m m m'
_space_group_IT_number 123
_space_group_name_Hall '-P 4 2'
loop_
_atom_site_label
_atom_site_type_symbol
_atom_site_fract_x
_atom_site_fract_y
_atom_site_fract_z
Cu1 Cu 0.000 0.000 0.000
Sb1 Sb 0.500 0.500 0.500
N1 N 0.000 0.000 0.500
F1 F 0.000 0.500 0.000

4.
# Cd2Ag2Br, relaxed, DFT PBE
# **Energy above the most stable polymorph in this dataset**: 41.8 meV per atom
# **Formation energy (no corrections)**: 2 meV per atom
# **Theoretical density**: 7.64 Mg/m³
# **Calculated total energy**: -1.839 eV/atom
data_Cd2Ag2Br
_cell_length_a 8.247
_cell_length_b 8.247
_cell_length_c 3.329
_cell_angle_alpha 90.00
_cell_angle_beta 90.00
_cell_angle_gamma 90.00
_space_group_name_H-M_alt 'P 4/m b m'
_space_group_IT_number 127
_space_group_name_Hall '-P 4 2ab'
loop_
_atom_site_label
_atom_site_type_symbol
_atom_site_fract_x
_atom_site_fract_y
_atom_site_fract_z
Cd1 Cd 0.177 0.323 0.000
Ag1 Ag 0.122 0.622 0.500
Br1 Br 0.000 0.000 0.500

5.
# Li9CaZn3, relaxed, DFT PBE
# **Energy of formation from the pure elements**: -100 meV per atom
# **Theoretical density**: 2.02 Mg/m³
# **Calculated total energy**: -1.873 eV/atom
data_Li9CaZn3
_cell_length_a 5.274
_cell_length_b 13.630
_cell_length_c 7.309
_cell_angle_alpha 90.00
_cell_angle_beta 110.46
_cell_angle_gamma 90.00
_space_group_name_H-M_alt 'C 1 2/m 1'
_space_group_IT_number 12
_space_group_name_Hall '-C 2y'
loop_
_atom_site_label
_atom_site_type_symbol
_atom_site_fract_x
_atom_site_fract_y
_atom_site_fract_z
Li1 Li 0.000 0.000 0.000
Li2 Li 0.115 0.113 0.720
Li3 Li 0.162 0.321 0.845
Ca1 Ca 0.000 0.500 0.500
Zn1 Zn 0.000 0.500 0.000
Zn2 Zn 0.250 0.250 0.500

6.
# Ce3ErAl8, relaxed, DFT PBE
# **Energy of formation from the pure elements**: -464 meV per atom
# **Energy above the most stable polymorph in this dataset**: 0.0 meV per atom
# **Theoretical density**: 5.38 Mg/m³
# **Calculated total energy**: -4.823 eV/atom
data_Ce3ErAl8
_cell_length_a 5.6004
_cell_length_b 5.6004
_cell_length_c 27.3964
_cell_angle_alpha 90.00
_cell_angle_beta 90.00
_cell_angle_gamma 120.00
_space_group_name_H-M_alt 'R 3 m'
_space_group_IT_number 160
_space_group_name_Hall 'R 3 -2"'
loop_
_atom_site_label
_atom_site_type_symbol
_atom_site_fract_x
_atom_site_fract_y
_atom_site_fract_z
Ce1 Ce 0.0000 0.0000 0.0000
Ce2 Ce 0.0000 0.0000 0.1235
Ce3 Ce 0.0000 0.0000 0.6266
Er1 Er 0.0000 0.0000 0.5002
Al1 Al 0.0000 0.0000 0.3121
Al2 Al 0.0000 0.0000 0.8128
Al3 Al 0.0005 0.5002 0.0635
Al4 Al 0.1673 0.3346 0.8951

7.
# Tb5Se6, relaxed, DFT PBE
# **Formation energy (no corrections)**: -1875 meV per atom
# **Theoretical density**: 7.33 Mg/m³
# **Calculated total energy**: -5.881 eV/atom
data_Tb5Se6
_cell_length_a 7.082
_cell_length_b 12.212
_cell_length_c 7.051
_cell_angle_alpha 90.00
_cell_angle_beta 109.52
_cell_angle_gamma 90.00
_space_group_name_H-M_alt 'C 1 2/m 1'
_space_group_IT_number 12
_space_group_name_Hall '-C 2y'
loop_
_atom_site_label
_atom_site_type_symbol
_atom_site_fract_x
_atom_site_fract_y
_atom_site_fract_z
Tb1 Tb 0.000 0.000 0.000
Tb2 Tb 0.000 0.165 0.500
Tb3 Tb 0.000 0.335 0.000
Se1 Se 0.246 0.500 0.256
Se2 Se 0.247 0.335 0.747

8.
# ZnTc4Ag, relaxed, DFT PBE
# **Energy of formation from the pure elements**: 530 meV per atom
# **Theoretical density**: 9.71 Mg/m³
# **Calculated total energy**: -7.068 eV/atom
data_ZnTc4Ag
_cell_length_a 7.285
_cell_length_b 7.285
_cell_length_c 7.285
_cell_angle_alpha 90.00
_cell_angle_beta 90.00
_cell_angle_gamma 90.00
_space_group_name_H-M_alt 'F -4 3 m'
_space_group_IT_number 216
_space_group_name_Hall 'F -4 2 3'
loop_
_atom_site_label
_atom_site_type_symbol
_atom_site_fract_x
_atom_site_fract_y
_atom_site_fract_z
Zn1 Zn 0.000 0.000 0.000
Tc1 Tc 0.125 0.125 0.375
Ag1 Ag 0.250 0.250 0.750

What did the eighth record say?
# ZnTc4Ag, relaxed, DFT PBE
# **Energy of formation from the pure elements**: 530 meV per atom
# **Theoretical density**: 9.71 Mg/m³
# **Calculated total energy**: -7.068 eV/atom
data_ZnTc4Ag
_cell_length_a 7.285
_cell_length_b 7.285
_cell_length_c 7.285
_cell_angle_alpha 90.00
_cell_angle_beta 90.00
_cell_angle_gamma 90.00
_space_group_name_H-M_alt 'F -4 3 m'
_space_group_IT_number 216
_space_group_name_Hall 'F -4 2 3'
loop_
_atom_site_label
_atom_site_type_symbol
_atom_site_fract_x
_atom_site_fract_y
_atom_site_fract_z
Zn1 Zn 0.000 0.000 0.000
Tc1 Tc 0.125 0.125 0.375
Ag1 Ag 0.250 0.250 0.750

- What is the calculated total energy in the eighth record?
  -7.068 eV/atom